## CoBi2WO6 (PBE+U)

Data for an optimized crystal structure of CoBi2WO6.

Its space group is P2_1/c (14). The calculation puts the energy at -6.3642 eV/atom. Its magnetic moment is 5.0 μB per formula unit.

a = 5.560 Å, b = 6.003 Å, c = 9.661 Å
α = 90.00°, β = 125.00°, γ = 90.00°
Fractional positions:
Co (0.000, 0.000, 0.000)
Co (0.000, 0.500, 0.500)
Bi (0.275, 0.050, 0.763)
Bi (0.275, 0.450, 0.263)
Bi (0.725, 0.550, 0.737)
Bi (0.725, 0.950, 0.237)
W (0.500, 0.000, 0.500)
W (0.500, 0.500, 0.000)
O (0.138, 0.039, 0.252)
O (0.138, 0.461, 0.752)
O (0.262, 0.694, 0.061)
O (0.262, 0.806, 0.561)
O (0.370, 0.185, 0.041)
O (0.370, 0.315, 0.541)
O (0.630, 0.685, 0.459)
O (0.630, 0.815, 0.959)
O (0.738, 0.194, 0.439)
O (0.738, 0.306, 0.939)
O (0.862, 0.539, 0.248)
O (0.862, 0.961, 0.748)